Tb2GePIr6 | PBE | relaxed

a b c (Å): 5.4448 8.6443 7.9455
angles (deg): 90.00 90.00 90.00
Last column: nearest neighbours and their distance in Å.
Element x y z (fractional)
Tb: 0.2500 0.0181 0.2168  9 Ir 3.01-3.38
Tb: 0.2500 0.4819 0.2168  9 Ir 3.01-3.38
Tb: 0.7500 0.5181 0.7832  9 Ir 3.01-3.38
Tb: 0.7500 0.9819 0.7832  9 Ir 3.01-3.38
Ge: 0.2500 0.7500 0.7620  6 Ir 2.47-2.60
Ge: 0.7500 0.2500 0.2380  6 Ir 2.47-2.60
P: 0.2500 0.2500 0.7505  6 Ir 2.28-2.50
P: 0.7500 0.7500 0.2495  6 Ir 2.28-2.50
Ir: 0.0099 0.7500 0.0252  1 P 2.28, 1 Ge 2.47
Ir: 0.0103 0.7500 0.4783  1 P 2.31
Ir: 0.2500 0.5016 0.5955  1 P 2.50, 1 Ge 2.52, 4 Ir 2.66-2.68
Ir: 0.2500 0.9984 0.5955  1 P 2.50, 1 Ge 2.52, 4 Ir 2.66-2.68
Ir: 0.4901 0.7500 0.0252  1 P 2.28, 1 Ge 2.47
Ir: 0.4897 0.7500 0.4783  1 P 2.31
Ir: 0.5103 0.2500 0.5217  1 P 2.31
Ir: 0.5099 0.2500 0.9748  1 P 2.28, 1 Ge 2.47
Ir: 0.7500 0.0016 0.4045  1 P 2.50, 1 Ge 2.52, 4 Ir 2.66-2.68
Ir: 0.7500 0.4984 0.4045  1 P 2.50, 1 Ge 2.52, 4 Ir 2.66-2.68
Ir: 0.9897 0.2500 0.5217  1 P 2.31
Ir: 0.9901 0.2500 0.9748  1 P 2.28, 1 Ge 2.47

Computed properties:
SG = Pmmn, No. 59
ΔE_f = -490 meV/atom
Crystal system = orthorhombic

LiTi5Ga3 | PBE | relaxed

a b c (Å): 7.8478 7.8478 5.4084
angles (deg): 90.00 90.00 120.00
Last column: nearest neighbours and their distance in Å.
Element x y z (fractional)
Li: 0.0000 0.0000 0.0000  2 Li 2.70, 6 Ti 2.89, 6 Ga 3.01
Li: 0.0000 0.0000 0.5000  2 Li 2.70, 6 Ti 2.89, 6 Ga 3.01
Ti: 0.0000 0.3251 0.2500  5 Ga 2.61-2.71, 2 Li 2.89
Ti: 0.0000 0.6749 0.7500  5 Ga 2.61-2.71, 2 Li 2.89
Ti: 0.3251 0.0000 0.2500  5 Ga 2.61-2.71, 2 Li 2.89
Ti: 0.3251 0.3251 0.7500  5 Ga 2.61-2.71, 2 Li 2.89
Ti: 0.3333 0.6667 0.0000  8 Ti 2.70-2.97, 6 Ga 2.91
Ti: 0.3333 0.6667 0.5000  8 Ti 2.70-2.97, 6 Ga 2.91
Ti: 0.6667 0.3333 0.0000  8 Ti 2.70-2.97, 6 Ga 2.91
Ti: 0.6667 0.3333 0.5000  8 Ti 2.70-2.97, 6 Ga 2.91
Ti: 0.6749 0.0000 0.7500  5 Ga 2.61-2.71, 2 Li 2.89
Ti: 0.6749 0.6749 0.2500  5 Ga 2.61-2.71, 2 Li 2.89
Ga: 0.0000 0.3421 0.7500  9 Ti 2.61-2.91
Ga: 0.0000 0.6579 0.2500  9 Ti 2.61-2.91
Ga: 0.3421 0.0000 0.7500  9 Ti 2.61-2.91
Ga: 0.3421 0.3421 0.2500  9 Ti 2.61-2.91
Ga: 0.6579 0.0000 0.2500  9 Ti 2.61-2.91
Ga: 0.6579 0.6579 0.7500  9 Ti 2.61-2.91

Computed properties:
SG = P6_3/mcm, No. 193
ΔE_f = -366 meV/atom
Crystal system = hexagonal

RbTl2HF4 | PBE | relaxed

a b c (Å): 7.4829 5.4438 7.3296
angles (deg): 69.95 43.11 66.95
Last column: nearest neighbours and their distance in Å.
Element x y z (fractional)
Rb: 0.0000 0.0000 0.0000  6 F 2.74-2.95, 1 H 2.80
Tl: 0.2219 0.2219 0.2781  2 F 2.60
Tl: 0.7219 0.7219 0.7781  2 F 2.60
H: 0.6500 0.6500 0.3500  2 F 1.16
F: 0.2155 0.7832 0.2168  2 Tl 2.60, 1 Rb 2.74
F: 0.5040 0.8159 0.4960  1 H 1.16
F: 0.7832 0.2155 0.7845  2 Tl 2.60, 1 Rb 2.74
F: 0.8159 0.5040 0.1841  1 H 1.16

Computed properties:
SG = Fmm2, No. 42
Calculated total energy = -4.029 eV per atom
Crystal system = orthorhombic

KAuC3 | PBE | relaxed

a b c (Å): 4.3910 4.3910 4.3910
angles (deg): 90.00 90.00 90.00
Last column: nearest neighbours and their distance in Å.
Element x y z (fractional)
K: 0.0000 0.0000 0.0000  6 C 2.20
Au: 0.5000 0.5000 0.5000  12 C 3.10
C: 0.0000 0.0000 0.5000  2 K 2.20
C: 0.0000 0.5000 0.0000  2 K 2.20
C: 0.5000 0.0000 0.0000  2 K 2.20

Computed properties:
SG = Pm-3m, No. 221
ΔE_f = 4378 meV/atom
Crystal system = cubic

SrAgIr2 | PBE | relaxed

a b c (Å): 4.9626 4.9626 4.9626
angles (deg): 126.30 126.30 79.40
Last column: nearest neighbours and their distance in Å.
Element x y z (fractional)
Sr: 0.0000 0.0000 0.0000  8 Ir 2.94-3.17, 4 Ag 2.94
Ag: 0.2500 0.7500 0.5000  8 Ir 2.94-3.17, 4 Sr 2.94
Ir: 0.5000 0.5000 0.0000  4 Ir 2.94, 4 Ag 2.94, 4 Sr 3.17
Ir: 0.7500 0.2500 0.5000  4 Ir 2.94, 4 Sr 2.94, 4 Ag 3.17

Computed properties:
SG = I-4m2, No. 119
ΔE_f = 498 meV/atom
Crystal system = tetragonal

PuZnInPb | PBE | relaxed

a b c (Å): 5.2274 5.2274 5.2274
angles (deg): 60.00 60.00 60.00
Last column: nearest neighbours and their distance in Å.
Element x y z (fractional)
Pu: 0.0000 0.0000 0.0000  4 In 3.20, 4 Pb 3.20
Zn: 0.5000 0.5000 0.5000  4 Pb 3.20, 4 In 3.20
In: 0.2500 0.2500 0.2500  4 Zn 3.20, 4 Pu 3.20
Pb: 0.7500 0.7500 0.7500  4 Zn 3.20, 4 Pu 3.20

Computed properties:
SG = F-43m, No. 216
ΔE_f = 54 meV/atom
Crystal system = cubic

SrMg2P | PBE | relaxed

a b c (Å): 6.8125 6.8125 6.8125
angles (deg): 101.11 101.11 127.93
Last column: nearest neighbours and their distance in Å.
Element x y z (fractional)
Sr: 0.0000 0.0000 0.0000  2 P 2.99
Sr: 0.7500 0.2500 0.5000  2 P 2.99
Mg: 0.2150 0.6250 0.0900  2 P 2.68
Mg: 0.3750 0.4650 0.5900  2 P 2.68
Mg: 0.5350 0.1250 0.9100  2 P 2.68
Mg: 0.8750 0.7850 0.4100  2 P 2.68
P: 0.2500 0.7500 0.5000  4 Mg 2.68, 2 Sr 2.99
P: 0.5000 0.5000 0.0000  4 Mg 2.68, 2 Sr 2.99

Computed properties:
SG = I-42d, No. 122
ΔE_f = -310 meV/atom
Crystal system = tetragonal

TlGeAu3 | PBE | relaxed

a b c (Å): 8.0715 8.0715 7.2125
angles (deg): 101.69 101.69 73.40
Last column: nearest neighbours and their distance in Å.
Element x y z (fractional)
Tl: 0.0006 0.9994 0.7500  4 Au 2.95-3.00, 1 Tl 3.24
Tl: 0.3365 0.6635 0.7500  4 Au 3.08-3.45, 1 Tl 3.24, 2 Ge 3.42
Tl: 0.6635 0.3365 0.2500  4 Au 3.08-3.45, 1 Tl 3.24, 2 Ge 3.42
Tl: 0.9994 0.0006 0.2500  4 Au 2.95-3.00, 1 Tl 3.24
Ge: 0.2357 0.5632 0.1525  4 Au 2.60-2.69, 1 Ge 2.63
Ge: 0.4368 0.7643 0.3475  4 Au 2.60-2.69, 1 Ge 2.63
Ge: 0.5632 0.2357 0.6525  4 Au 2.60-2.69, 1 Ge 2.63
Ge: 0.7643 0.4368 0.8475  4 Au 2.60-2.69, 1 Ge 2.63
Au: 0.0360 0.3783 0.6589  1 Ge 2.69, 5 Au 2.85-3.00
Au: 0.0418 0.2863 0.0679  1 Ge 2.61
Au: 0.2841 0.3635 0.4217  2 Ge 2.60-2.67, 2 Au 2.85-2.86
Au: 0.2863 0.0418 0.5679  1 Ge 2.61
Au: 0.3635 0.2841 0.9217  2 Ge 2.60-2.67, 2 Au 2.85-2.86
Au: 0.3783 0.0360 0.1589  1 Ge 2.69, 5 Au 2.85-3.00
Au: 0.6217 0.9640 0.8411  1 Ge 2.69, 5 Au 2.85-3.00
Au: 0.6365 0.7159 0.0783  2 Ge 2.60-2.67, 2 Au 2.85-2.86
Au: 0.7137 0.9582 0.4321  1 Ge 2.61
Au: 0.7159 0.6365 0.5783  2 Ge 2.60-2.67, 2 Au 2.85-2.86
Au: 0.9582 0.7137 0.9321  1 Ge 2.61
Au: 0.9640 0.6217 0.3411  1 Ge 2.69, 5 Au 2.85-3.00

Computed properties:
SG = C2/c, No. 15
ΔE_f = 10 meV/atom
Crystal system = monoclinic

RbZr2I8 | PBE | relaxed

a b c (Å): 10.7507 10.7507 5.8307
angles (deg): 90.00 90.00 120.00
Last column: nearest neighbours and their distance in Å.
Element x y z (fractional)
Rb: 0.0000 0.0000 0.0000  6 I 3.77
Zr: 0.3333 0.6667 0.2584  5 I 2.77-2.94
Zr: 0.6667 0.3333 0.7416  5 I 2.77-2.94
I: 0.1832 0.3689 0.2669  1 Zr 2.77
I: 0.1857 0.8168 0.2669  1 Zr 2.77
I: 0.3333 0.6667 0.7623  2 Zr 2.89-2.94
I: 0.3689 0.1857 0.7331  1 Zr 2.77
I: 0.6311 0.8143 0.2669  1 Zr 2.77
I: 0.6667 0.3333 0.2377  2 Zr 2.89-2.94
I: 0.8143 0.1832 0.7331  1 Zr 2.77
I: 0.8168 0.6311 0.7331  1 Zr 2.77

Computed properties:
SG = P-3, No. 147
Formation energy from raw total energies = -83.9 kJ per mole of atoms
Crystal system = trigonal

SrPr3Mn | PBE | relaxed

a b c (Å): 5.6176 5.6176 5.6176
angles (deg): 90.00 90.00 90.00
Last column: nearest neighbours and their distance in Å.
Element x y z (fractional)
Sr: 0.0000 0.0000 0.0000  12 Pr 3.97
Pr: 0.0000 0.5000 0.5000  2 Mn 2.81
Pr: 0.5000 0.0000 0.5000  2 Mn 2.81
Pr: 0.5000 0.5000 0.0000  2 Mn 2.81
Mn: 0.5000 0.5000 0.5000  6 Pr 2.81

Computed properties:
SG = Pm-3m, No. 221
ΔE_f = 240 meV/atom
Crystal system = cubic

Y6Bi2Sb3Te | PBE | relaxed

a b c (Å): 9.8709 9.8709 8.8430
angles (deg): 102.94 102.94 25.85
Last column: nearest neighbours and their distance in Å.
Element x y z (fractional)
Y: 0.0015 0.0015 0.2436  3 Sb 3.08, 1 Bi 3.14, 2 Te 3.17
Y: 0.3314 0.3314 0.4202  3 Sb 3.09-3.10, 2 Bi 3.15, 1 Te 3.16
Y: 0.3348 0.3348 0.9131  3 Sb 3.09-3.10, 3 Bi 3.16
Y: 0.6652 0.6652 0.0869  3 Sb 3.09-3.10, 3 Bi 3.16
Y: 0.6686 0.6686 0.5798  3 Sb 3.09-3.10, 2 Bi 3.15, 1 Te 3.16
Y: 0.9985 0.9985 0.7564  3 Sb 3.08, 1 Bi 3.14, 2 Te 3.17
Bi: 0.1662 0.1662 0.8322  6 Y 3.14-3.16
Bi: 0.8338 0.8338 0.1678  6 Y 3.14-3.16
Sb: 0.1660 0.1660 0.3338  6 Y 3.08-3.10
Sb: 0.5000 0.5000 0.0000  6 Y 3.08-3.09
Sb: 0.8340 0.8340 0.6662  6 Y 3.08-3.10
Te: 0.5000 0.5000 0.5000  6 Y 3.16-3.17

Computed properties:
SG = C2/m, No. 12
Formation energy from raw total energies = -109.0 kJ per mole of atoms
Crystal system = monoclinic

NbP2AuO | PBE | relaxed

a b c (Å): 4.9651 4.9651 3.8453
angles (deg): 90.00 90.00 90.00
Last column: nearest neighbours and their distance in Å.
Element x y z (fractional)
Nb: 0.0000 0.0000 0.0000  2 O 1.92
P: 0.0000 0.5000 0.0000  2 Nb 2.48
P: 0.5000 0.0000 0.0000  2 Nb 2.48
Au: 0.5000 0.5000 0.5000  8 P 3.14, 4 O 3.51
O: 0.0000 0.0000 0.5000  2 Nb 1.92

Computed properties:
SG = P4/mmm, No. 123
Formation energy from raw total energies = -16.7 kJ per mole of atoms
Crystal system = tetragonal

Rb3Te4As | PBE | relaxed

a b c (Å): 9.1252 9.1252 9.1252
angles (deg): 137.99 67.16 130.17
Last column: nearest neighbours and their distance in Å.
Element x y z (fractional)
Rb: 0.0000 0.0000 0.0000  2 As 3.83, 6 Te 3.88-4.02
Rb: 0.3830 0.0933 0.2897  6 Te 3.72-4.09, 1 As 4.11
Rb: 0.8035 0.0933 0.7103  6 Te 3.72-4.09, 1 As 4.11
Te: 0.2247 0.5753 0.6494  1 As 2.67
Te: 0.5310 0.3120 0.7809  1 As 2.79, 1 Te 2.87
Te: 0.5310 0.7501 0.2191  1 As 2.79, 1 Te 2.87
Te: 0.9259 0.5753 0.3506  1 As 2.67
As: 0.2581 0.7581 0.5000  4 Te 2.67-2.79

Computed properties:
SG = Imm2, No. 44
Formation energy from raw total energies = -55.7 kJ per mole of atoms
Crystal system = orthorhombic

RbSbI6 | PBE | relaxed

a b c (Å): 6.9579 8.1112 8.5233
angles (deg): 66.66 77.34 72.78
Last column: nearest neighbours and their distance in Å.
Element x y z (fractional)
Rb: 0.0000 0.0000 0.0000  8 I 3.91-4.34
Sb: 0.5000 0.5000 0.5000  6 I 2.88-3.06
I: 0.1580 0.6292 0.7502  1 Sb 3.06, 1 I 3.14
I: 0.2214 0.4380 0.3362  1 Sb 2.88, 1 I 3.14
I: 0.4623 0.8816 0.2474  1 Sb 2.96
I: 0.5377 0.1184 0.7526  1 Sb 2.96
I: 0.7786 0.5620 0.6638  1 Sb 2.88, 1 I 3.14
I: 0.8420 0.3708 0.2498  1 Sb 3.06, 1 I 3.14

Computed properties:
SG = P-1, No. 2
Formation energy from raw total energies = -42.7 kJ per mole of atoms
Crystal system = triclinic

TaTc2RuBr | PBE | relaxed

a b c (Å): 4.4530 4.4530 4.6866
angles (deg): 90.00 90.00 90.00
Last column: nearest neighbours and their distance in Å.
Element x y z (fractional)
Ta: 0.0000 0.0000 0.0000  2 Br 2.34
Tc: 0.0000 0.5000 0.5000  2 Br 2.23
Tc: 0.5000 0.0000 0.5000  2 Br 2.23
Ru: 0.5000 0.5000 0.0000  4 Ta 3.15, 8 Tc 3.23
Br: 0.0000 0.0000 0.5000  4 Tc 2.23, 2 Ta 2.34

Computed properties:
SG = P4/mmm, No. 123
Formation energy from raw total energies = 166.2 kJ per mole of atoms
Crystal system = tetragonal

Ac4InHgAu2 | PBE | relaxed

a b c (Å): 9.8210 9.8210 9.8210
angles (deg): 33.37 33.37 33.37
Last column: nearest neighbours and their distance in Å.
Element x y z (fractional)
Ac: 0.1232 0.1232 0.1232  1 Hg 3.42, 4 Au 3.43-3.51, 3 In 3.47
Ac: 0.3737 0.3737 0.3737  3 Hg 3.44, 4 Au 3.45-3.47, 1 In 3.51
Ac: 0.6263 0.6263 0.6263  3 Hg 3.44, 4 Au 3.45-3.47, 1 In 3.51
Ac: 0.8768 0.8768 0.8768  1 Hg 3.42, 4 Au 3.43-3.51, 3 In 3.47
In: 0.5000 0.5000 0.5000  8 Ac 3.47-3.51
Hg: 0.0000 0.0000 0.0000  8 Ac 3.42-3.44
Au: 0.2495 0.2495 0.2495  8 Ac 3.43-3.51
Au: 0.7505 0.7505 0.7505  8 Ac 3.43-3.51

Computed properties:
SG = R-3m, No. 166
ΔE_f = -583 meV/atom
Crystal system = trigonal

SmAlZn2Cu4 | PBE | relaxed

a b c (Å): 8.7201 8.7201 8.7201
angles (deg): 27.82 27.82 27.82
Last column: nearest neighbours and their distance in Å.
Element x y z (fractional)
Sm: 0.0000 0.0000 0.0000  8 Cu 2.99-3.30, 6 Zn 3.35
Al: 0.5000 0.5000 0.5000  8 Cu 2.43-2.58
Zn: 0.2411 0.2411 0.2411  7 Cu 2.48-2.76
Zn: 0.7589 0.7589 0.7589  7 Cu 2.48-2.76
Cu: 0.1313 0.1313 0.1313  3 Al 2.58, 4 Zn 2.61-2.76, 3 Cu 2.87
Cu: 0.4033 0.4033 0.4033  1 Al 2.43, 3 Zn 2.48
Cu: 0.5967 0.5967 0.5967  1 Al 2.43, 3 Zn 2.48
Cu: 0.8687 0.8687 0.8687  3 Al 2.58, 4 Zn 2.61-2.76, 3 Cu 2.87

Computed properties:
SG = R-3m, No. 166
ΔE_f = -173 meV/atom
Crystal system = trigonal

Ti2Tl2PdSe6 | PBE | relaxed

a b c (Å): 6.4046 6.4046 8.0755
angles (deg): 97.65 97.65 119.27
Last column: nearest neighbours and their distance in Å.
Element x y z (fractional)
Ti: 0.1857 0.8143 0.0000  6 Se 2.55-2.66
Ti: 0.8143 0.1857 0.0000  6 Se 2.55-2.66
Tl: 0.3416 0.6584 0.5000  6 Se 3.20-3.31, 1 Tl 3.50
Tl: 0.6584 0.3416 0.5000  6 Se 3.20-3.31, 1 Tl 3.50
Pd: 0.5000 0.5000 0.0000  6 Se 2.56-2.69
Se: 0.0831 0.4158 0.8014  2 Ti 2.55-2.57, 1 Pd 2.69
Se: 0.2184 0.2184 0.1700  1 Pd 2.56, 2 Ti 2.66
Se: 0.4158 0.0831 0.8014  2 Ti 2.55-2.57, 1 Pd 2.69
Se: 0.5842 0.9169 0.1986  2 Ti 2.55-2.57, 1 Pd 2.69
Se: 0.7816 0.7816 0.8300  1 Pd 2.56, 2 Ti 2.66
Se: 0.9169 0.5842 0.1986  2 Ti 2.55-2.57, 1 Pd 2.69

Computed properties:
SG = C2/m, No. 12
Formation energy from raw total energies = -69.3 kJ per mole of atoms
Crystal system = monoclinic

Th6GeAs2S3 | PBE | relaxed

a b c (Å): 9.2710 9.2710 8.2572
angles (deg): 101.90 101.90 26.16
Last column: nearest neighbours and their distance in Å.
Element x y z (fractional)
Th: 0.0021 0.0021 0.2452  3 S 2.90-2.91, 2 Ge 2.98, 1 As 2.99
Th: 0.3315 0.3315 0.4235  3 S 2.90-2.92, 1 Ge 2.97, 2 As 2.99
Th: 0.3362 0.3362 0.9113  3 S 2.89-2.90, 3 As 2.98
Th: 0.6638 0.6638 0.0887  3 S 2.89-2.90, 3 As 2.98
Th: 0.6685 0.6685 0.5765  3 S 2.90-2.92, 1 Ge 2.97, 2 As 2.99
Th: 0.9979 0.9979 0.7548  3 S 2.90-2.91, 2 Ge 2.98, 1 As 2.99
Ge: 0.5000 0.5000 0.5000  6 Th 2.97-2.98
As: 0.1673 0.1673 0.8336  6 Th 2.98-2.99
As: 0.8327 0.8327 0.1664  6 Th 2.98-2.99
S: 0.1663 0.1663 0.3323  6 Th 2.90-2.92
S: 0.5000 0.5000 0.0000  6 Th 2.89-2.91
S: 0.8337 0.8337 0.6677  6 Th 2.90-2.92

Computed properties:
SG = C2/m, No. 12
Formation energy from raw total energies = -146.8 kJ per mole of atoms
Crystal system = monoclinic

TiVReOs | PBE | relaxed

a b c (Å): 3.0641 4.3218 4.3530
angles (deg): 90.00 90.00 90.00
Last column: nearest neighbours and their distance in Å.
Element x y z (fractional)
Ti: 0.0000 0.0000 0.0000  4 Os 2.65, 4 Re 2.66
V: 0.0000 0.5000 0.5000  4 Re 2.65, 4 Os 2.66
Re: 0.5000 0.0000 0.5000  4 V 2.65, 4 Ti 2.66
Os: 0.5000 0.5000 0.0000  4 Ti 2.65, 4 V 2.66

Computed properties:
SG = Pmmm, No. 47
ΔE_f = -470 meV/atom
Crystal system = orthorhombic